{
  "formula": "Li2GeBi2",
  "functional": "PBE",
  "state": "optimized geometry",
  "cell": [[8.3031, 0.0000, 0.0000], [0.0000, 8.3031, 0.0000], [0.0000, 0.0000, 3.3319]],
  "species": ["Li", "Li", "Li", "Li", "Ge", "Ge", "Bi", "Bi", "Bi", "Bi"],
  "fractional_positions": [[0.1164, 0.3836, 0.0000], [0.3836, 0.8836, 0.0000], [0.6164, 0.1164, 0.0000], [0.8836, 0.6164, 0.0000], [0.0000, 0.0000, 0.0000], [0.5000, 0.5000, 0.0000], [0.1841, 0.6841, 0.5000], [0.3159, 0.1841, 0.5000], [0.6841, 0.8159, 0.5000], [0.8159, 0.3159, 0.5000]],
  "relative_energy_kj_per_mol_atoms": 3.9,
  "vol_a3_per_atom": 22.971
}